ZrBe2Te: optimized geometry, PBE.

Summary:
VASP energy, eV/atom: -4.449
E_form (uncorrected), eV/f.u.: 1.35
SG: I-42d, No. 122

Geometry as CIF:
```
data_ZrBe2Te
_symmetry_space_group_name_H-M 'P 1'
_symmetry_Int_Tables_number 1
_cell_length_a 5.7579
_cell_length_b 5.7579
_cell_length_c 5.7579
_cell_angle_alpha 103.94
_cell_angle_beta 103.94
_cell_angle_gamma 121.21
loop_
_symmetry_equiv_pos_as_xyz
'x,y,z'
loop_
_atom_site_label
_atom_site_type_symbol
_atom_site_fract_x
_atom_site_fract_y
_atom_site_fract_z
Zr1 Zr 0.0000 0.0000 0.0000
Zr2 Zr 0.7500 0.2500 0.5000
Be1 Be 0.1517 0.6250 0.0267
Be2 Be 0.3750 0.4017 0.5267
Be3 Be 0.5983 0.1250 0.9733
Be4 Be 0.8750 0.8483 0.4733
Te1 Te 0.2500 0.7500 0.5000
Te2 Te 0.5000 0.5000 0.0000
```